Record 1
DFT (GGA-PBEsol) results for crystalline ZnCr2Tc at its relaxed geometry.

total magnetization: 0.00 μB per cell
formation energy from the elements: 0.788 eV/f.u.
DFT total energy: -8.1360 eV/atom

a b c (Å): 2.9442 4.1070 8.3294
angles (deg): 90.00 90.00 90.00
Last column: nearest neighbours and their distance in Å.
Space group Cmmm (No. 65)
Asymmetric unit:
Zn  0.0000  0.0000  0.0000  4 Zn 2.53, 4 Cr 2.58
Cr  0.0000  0.5000  0.2545  2 Tc 2.52, 4 Cr 2.53, 2 Zn 2.58
Tc  0.0000  0.0000  0.5000  4 Cr 2.52, 4 Tc 2.53

=====

Record 2
DFT (GGA-PBEsol) results for crystalline Ag2SnO3 at its relaxed geometry.

formation energy (no corrections): -0.844 eV/atom
total magnetization: 0.00 μB per cell
DFT total energy: -5.2819 eV/atom

a b c (Å): 5.6455 5.6455 12.6655
angles (deg): 90.00 90.00 120.00
Last column: nearest neighbours and their distance in Å.
Space group P6_322 (No. 182)
Asymmetric unit:
Ag  0.0000  0.3175  0.0000  2 O 2.06
Ag  0.3333  0.6667  0.7500  6 O 2.44
Sn  0.0000  0.0000  0.2500  6 O 2.09
Sn  0.3333  0.6667  0.2500  6 O 2.08
O  0.0499  0.3337  0.1614  1 Ag 2.06, 2 Sn 2.08-2.09

=====

Record 3
DFT (GGA-PBEsol) results for crystalline Sr3MnRuO7 at its relaxed geometry.

formation energy (no corrections): -2.224 eV/atom
total magnetization: 6.70 μB per cell
DFT total energy: -7.4073 eV/atom

a b c (Å): 3.8250 3.8250 20.3075
angles (deg): 90.00 90.00 90.00
Last column: nearest neighbours and their distance in Å.
Space group I4mm (No. 107)
Asymmetric unit:
Sr  0.0000  0.0000  0.0000  12 O 2.63-2.85
Sr  0.0000  0.0000  0.1747  9 O 2.47-2.71
Sr  0.0000  0.0000  0.8048  9 O 2.44-2.71
Mn  0.0000  0.0000  0.5919  6 O 1.88-1.95
Ru  0.0000  0.0000  0.3967  6 O 1.91-2.04
O  0.0000  0.0000  0.2961  1 Ru 2.04
O  0.0000  0.0000  0.4958  1 Mn 1.95, 1 Ru 2.01
O  0.0000  0.0000  0.6847  1 Mn 1.88
O  0.0000  0.5000  0.0891  2 Mn 1.91
O  0.0000  0.5000  0.3957  2 Ru 1.91

=====

Record 4
DFT (GGA-PBEsol) results for crystalline Li3TaO4 at its relaxed geometry.

formation energy (no corrections): -2.526 eV/atom
total magnetization: 0.00 μB per cell
DFT total energy: -7.4576 eV/atom

a b c (Å): 8.4573 8.4703 9.2693
angles (deg): 90.00 117.06 90.00
Last column: nearest neighbours and their distance in Å.
Space group C2/c (No. 15)
Asymmetric unit:
Li  0.0420  0.1033  0.1250  4 O 2.04
Li  0.1818  0.3762  0.3648  6 O 2.08-2.20
Li  0.1862  0.1186  0.8848  6 O 2.07-2.20
Ta  0.0790  0.3588  0.6248  4 O 1.89-1.99
O  0.0584  0.3899  0.1134  2 Ta 1.99-2.13, 3 Li 2.08-2.15
O  0.0606  0.1362  0.6186  1 Ta 1.89, 4 Li 2.04-2.12
O  0.1666  0.3765  0.8633  2 Ta 1.99-2.13, 3 Li 2.09-2.19
O  0.1949  0.1252  0.3684  1 Ta 1.89, 3 Li 2.04-2.07

=====

Record 5
DFT (GGA-PBEsol) results for crystalline CrPN3 at its relaxed geometry.

formation energy (no corrections): 1.071 eV/atom
total magnetization: 0.01 μB per cell
DFT total energy: -7.2520 eV/atom

a b c (Å): 3.6834 3.6834 3.6834
angles (deg): 90.00 90.00 90.00
Last column: nearest neighbours and their distance in Å.
Space group Pm-3m (No. 221)
Asymmetric unit:
Cr  0.0000  0.0000  0.0000  6 N 1.84
P  0.5000  0.5000  0.5000  12 N 2.60
N  0.0000  0.0000  0.5000  2 Cr 1.84

=====

Record 6
DFT (GGA-PBEsol) results for crystalline Mn2IrPt at its relaxed geometry.

total magnetization: 1.99 μB per cell
formation energy from the elements: 0.128 eV/f.u.
DFT total energy: -9.0452 eV/atom

a b c (Å): 2.6429 2.6429 25.5525
angles (deg): 90.00 90.00 120.00
Last column: nearest neighbours and their distance in Å.
Space group R3m (No. 160, hexagonal axes)
Asymmetric unit:
Mn  0.0000  0.0000  0.0000  9 Mn 2.46-2.64, 3 Ir 2.54
Mn  0.0000  0.0000  0.2580  9 Mn 2.46-2.64, 3 Pt 2.64
Ir  0.0000  0.0000  0.7461  3 Mn 2.54, 6 Ir 2.64
Pt  0.0000  0.0000  0.5071  3 Mn 2.64, 6 Pt 2.64, 3 Ir 2.85

=====

Record 7
DFT (GGA-PBEsol) results for crystalline KNiPO4 at its relaxed geometry.

formation energy (no corrections): -1.793 eV/atom
total magnetization: 7.85 μB per cell
DFT total energy: -6.6614 eV/atom

a b c (Å): 8.6202 9.1549 4.8631
angles (deg): 90.00 90.00 90.00
Last column: nearest neighbours and their distance in Å.
Space group Pna2_1 (No. 33)
Asymmetric unit:
K  0.0030  0.1859  0.0000  6 O 2.60-2.82
Ni  0.1529  0.4580  0.4723  5 O 1.96-2.09
P  0.2085  0.6263  0.0412  4 O 1.54-1.58
O  0.0456  0.5838  0.1673  1 P 1.58
O  0.1833  0.0145  0.6863  1 P 1.55
O  0.2106  0.6159  0.7251  1 P 1.54
O  0.2460  0.7841  0.1272  1 P 1.54

=====

Record 8
DFT (GGA-PBEsol) results for crystalline Zr2NiMo at its relaxed geometry.

total magnetization: 0.00 μB per cell
formation energy from the elements: -0.839 eV/f.u.
DFT total energy: -9.2360 eV/atom

a b c (Å): 3.2749 3.2749 6.3299
angles (deg): 90.00 90.00 90.00
Last column: nearest neighbours and their distance in Å.
Space group P4/mmm (No. 123)
Asymmetric unit:
Zr  0.0000  0.0000  0.2475  4 Ni 2.80, 4 Mo 2.81
Ni  0.5000  0.5000  0.0000  8 Zr 2.80
Mo  0.5000  0.5000  0.5000  8 Zr 2.81